# RbInNiO3 | Alexandria | GGA+U | relaxed
# Uncorrected energy (eV/atom): -4.676
data_RbInNiO3
_chemical_formula_sum 'Rb4 In4 Ni4 O12'
_cell_length_a 5.452
_cell_length_b 16.194
_cell_length_c 5.373
_cell_angle_alpha 90.00
_cell_angle_beta 90.00
_cell_angle_gamma 90.00
_space_group_name_H-M_alt 'C m c m'
_space_group_IT_number 63
_space_group_name_Hall '-C 2c 2'
loop_
_atom_site_label
_atom_site_type_symbol
_atom_site_fract_x
_atom_site_fract_y
_atom_site_fract_z
Rb1 Rb 0.000 0.247 0.250
In1 In 0.000 0.433 0.750
Ni1 Ni 0.000 0.013 0.750
O1 O 0.000 0.310 0.750
O2 O 0.241 0.000 0.000